First-principles (PBE with a Hubbard U) data for an optimized crystal structure of HfTaMoO6, as listed in Alexandria via LeMat-Bulk.

a = 5.3359 Å, b = 5.3359 Å, c = 9.1223 Å
α = 90.00°, β = 90.00°, γ = 120.00°
Fractional coordinates of all 18 atoms:
Hf 0.3333 0.6667 0.2500
Hf 0.6667 0.3333 0.7500
Ta 0.3333 0.6667 0.7500
Ta 0.6667 0.3333 0.2500
Mo 0.0000 0.0000 0.0000
Mo 0.0000 0.0000 0.5000
O 0.0118 0.3519 0.6328
O 0.0118 0.6599 0.8672
O 0.3401 0.3519 0.8672
O 0.3401 0.9882 0.6328
O 0.3519 0.0118 0.1328
O 0.3519 0.3401 0.3672
O 0.6481 0.6599 0.6328
O 0.6481 0.9882 0.8672
O 0.6599 0.0118 0.3672
O 0.6599 0.6481 0.1328
O 0.9882 0.3401 0.1328
O 0.9882 0.6481 0.3672

Crystal system ... trigonal
Space group ... P-31c (163)
Calculated total energy ... -9.22 eV/atom
M_tot ... 6.0 μB/cell